MgReTe4 after structural relaxation, computed with GGA-PBEsol.

Geometry as POSCAR:
```
MgReTe4
1.0
-5.886 0.892 1.667
-4.556 -2.738 -3.158
-3.214 -4.608 2.580
Te Re Mg
4 1 1
direct
0.877 0.374 0.374
0.374 0.877 0.374
0.374 0.374 0.877
0.374 0.374 0.374
0.000 0.000 0.000
0.750 0.750 0.750
```

Values from the calculation:
- Symmetry: F-43m (216)
- Raw formation energy: 7.53 eV per formula unit



Mg2H2O3 after structural relaxation, computed with GGA-PBEsol.

Geometry as POSCAR:
```
Mg2H2O3
1.0
3.064 0.000 0.000
-1.532 2.654 0.000
0.000 0.000 7.256
H O Mg
2 3 2
direct
0.667 0.333 0.447
0.333 0.667 0.553
0.667 0.333 0.313
0.333 0.667 0.687
0.000 0.000 0.000
0.667 0.333 0.832
0.333 0.667 0.168
```

Values from the calculation:
- Symmetry: P-3m1 (164)
- Calculated total energy: -5.70 eV per atom



CoTe2Se after structural relaxation, computed with GGA-PBEsol.

Geometry as POSCAR:
```
CoTe2Se
1.0
-0.496 1.588 -3.324
-5.073 -0.559 0.490
2.279 4.363 1.745
Se Co Te
1 1 2
direct
0.500 0.000 0.000
0.500 0.500 0.000
0.000 0.321 0.641
0.000 0.679 0.359
```

Values from the calculation:
- Symmetry: Cmmm (65)
- Raw formation energy: -0.05 eV per formula unit



As3HS after structural relaxation, computed with GGA-PBEsol.

Geometry as POSCAR:
```
As3HS
1.0
4.736 0.000 0.000
0.000 4.736 0.000
0.000 0.000 4.736
As H S
3 1 1
direct
0.000 0.500 0.000
0.500 0.000 0.000
0.000 0.000 0.500
0.500 0.500 0.500
0.000 0.000 0.000
```

Values from the calculation:
- Symmetry: Pm-3m (221)
- Calculated total energy: -3.36 eV per atom



Hg2RuPb after structural relaxation, computed with GGA-PBEsol.

Geometry as POSCAR:
```
Hg2RuPb
1.0
4.049 0.000 0.000
0.000 4.049 0.000
-2.025 -2.025 4.771
Ru Hg Pb
1 2 1
direct
0.000 0.000 0.000
0.750 0.250 0.500
0.250 0.750 0.500
0.500 0.500 0.000
```

Values from the calculation:
- Symmetry: I4/mmm (139)
- Formation energy from the elements: 435 meV/atom



Al2TlGe2 after structural relaxation, computed with GGA-PBEsol.

Geometry as POSCAR:
```
Al2TlGe2
1.0
-2.119 3.551 1.903
-2.438 0.581 -3.799
-1.263 -5.145 2.750
Tl Ge Al
1 2 2
direct
0.000 0.000 0.000
0.376 0.376 0.753
0.624 0.624 0.247
0.250 0.750 0.500
0.750 0.250 0.500
```

Values from the calculation:
- Symmetry: I4/mmm (139)
- Formation energy from the elements: 54 meV/atom



MnReTc2 after structural relaxation, computed with GGA-PBEsol.

Geometry as POSCAR:
```
MnReTc2
1.0
2.678 0.000 0.000
0.000 4.630 -0.002
0.000 -1.551 4.363
Tc Re Mn
2 1 1
direct
0.000 0.500 0.000
0.000 0.000 0.500
0.500 0.500 0.500
0.500 0.000 0.000
```

Values from the calculation:
- Symmetry: Cmmm (65)
- Formation energy from the elements: 123 meV/atom



Be2Co after structural relaxation, computed with GGA-PBEsol.

Geometry as POSCAR:
```
Be2Co
1.0
-1.146 -2.038 -0.382
2.981 -1.497 -0.957
-0.987 -0.068 3.327
Be Co
2 1
direct
0.501 0.333 0.667
0.499 0.667 0.333
0.000 0.000 0.000
```

Values from the calculation:
- Symmetry: P6/mmm (191)
- Formation energy from the elements: -279 meV/atom